# ZnCrS2Cl (PBEsol, optimized geometry)
# uncorrected formation energy	-0.0344	eV per atom
data_ZnCrS2Cl
_chemical_formula_sum 'Zn1 Cr1 S2 Cl1'
_cell_length_a 4.489
_cell_length_b 4.489
_cell_length_c 4.657
_cell_angle_alpha 90.00
_cell_angle_beta 90.00
_cell_angle_gamma 90.00
_symmetry_space_group_name_H-M 'P 4/m m m'
_symmetry_Int_Tables_number 123
_symmetry_space_group_name_Hall '-P 4 2'
loop_
_atom_site_label
_atom_site_fract_x
_atom_site_fract_y
_atom_site_fract_z
Zn1 0.000 0.000 0.000
Cr1 0.500 0.500 0.500
S1 0.000 0.500 0.500
Cl1 0.500 0.500 0.000